(1)
Material: TcAs2Os
Method: DFT, PBE
State: optimized geometry

Results
E_form	0.82	eV per formula unit
VASP energy	-30.076	eV/cell
E above lowest polymorph	68	kJ/mol of formula units
N(E_F)	0.7530	states/eV per atom

Cell and atoms, written as extended XYZ:
```
4
Lattice="-2.6934 -3.1912 -0.7407 0.0486 -3.8690 -1.7363 0.7723 -3.0010 4.1700" Properties=species:S:1:pos:R:3 pbc="T T T"
As -2.6419 -7.0630 -2.4673
As -0.9391 -5.0278 0.8368
Os -1.4043 -7.5459 1.2697
Tc -0.4681 -2.5153 0.4232
```

***

(2)
Material: MnZn2Tc
Method: DFT, PBE
State: optimized geometry

Results
E_form	1.60	eV per formula unit
VASP energy	-20.484	eV/cell
E above lowest polymorph	152	kJ/mol of formula units
N(E_F)	1.5001	states/eV per atom

Cell and atoms, written as extended XYZ:
```
4
Lattice="0.0000 2.9829 2.9829 2.9829 0.0000 2.9829 2.9829 2.9829 0.0000" Properties=species:S:1:pos:R:3 pbc="T T T"
Zn 1.4915 1.4915 1.4915
Zn 4.4744 4.4744 4.4744
Mn 0.0000 0.0000 0.0000
Tc 2.9829 2.9829 2.9829
```

***

What is the formula in the second record?
MnZn2Tc

***

E above lowest polymorph of number 2 (MnZn2Tc)?
152 kJ/mol of formula units

***

The lowest E_form belongs to which entry?
TcAs2Os

***

Look up the E_form of the first one.
0.82 eV per formula unit